# PuMnCl4, optimized geometry, DFT PBE
data_PuMnCl4
_symmetry_space_group_name_H-M 'C 1 2/m 1'
_symmetry_Int_Tables_number 12
_symmetry_space_group_name_Hall '-C 2y'
_cell_length_a 14.572
_cell_length_b 3.726
_cell_length_c 6.164
_cell_angle_alpha 90.00
_cell_angle_beta 113.42
_cell_angle_gamma 90.00
loop_
_atom_site_label
_atom_site_type_symbol
_atom_site_fract_x
_atom_site_fract_y
_atom_site_fract_z
Pu1 Pu 0.000 0.000 0.000
Mn1 Mn 0.000 0.500 0.500
Cl1 Cl 0.102 0.000 0.473
Cl2 Cl 0.118 0.500 0.909
# - formation energy from raw total energies (eV/atom) = -1.097
# - theoretical density (g/cm3) = 4.8